Record 1
# Nd8ZnIn2 | the Alexandria database | PBE-GGA | relaxed
data_Nd8ZnIn2
_chemical_formula_sum 'Nd8 Zn1 In2'
_space_group_name_H-M_alt 'P 1'
_space_group_IT_number 1
_space_group_name_Hall 'P 1'
_cell_length_a 5.436
_cell_length_b 6.874
_cell_length_c 9.664
_cell_angle_alpha 92.78
_cell_angle_beta 106.33
_cell_angle_gamma 90.00
loop_
_atom_site_label
_atom_site_type_symbol
_atom_site_fract_x
_atom_site_fract_y
_atom_site_fract_z
Nd1 Nd 0.666 0.910 0.331
Nd2 Nd 0.334 0.090 0.669
Nd3 Nd 0.211 0.609 0.423
Nd4 Nd 0.410 0.594 0.820
Nd5 Nd 0.030 0.770 0.059
Nd6 Nd 0.590 0.406 0.180
Nd7 Nd 0.970 0.230 0.941
Nd8 Nd 0.789 0.391 0.577
Zn1 Zn 0.500 0.000 0.000
In1 In 0.844 0.843 0.689
In2 In 0.156 0.157 0.311
# DOS at the Fermi energy, states/eV/f.u.: 12.3
# Size of the total moment, Bohr magnetons per cell: 0.00
# ΔE_f, eV per atom: -0.223


Record 2
# NdZnIn | the Alexandria database | PBE-GGA | relaxed
data_NdZnIn
_chemical_formula_sum 'Nd2 Zn2 In2'
_space_group_name_H-M_alt 'P 1'
_space_group_IT_number 1
_space_group_name_Hall 'P 1'
_cell_length_a 4.744
_cell_length_b 4.744
_cell_length_c 7.605
_cell_angle_alpha 90.00
_cell_angle_beta 90.00
_cell_angle_gamma 120.00
loop_
_atom_site_label
_atom_site_type_symbol
_atom_site_fract_x
_atom_site_fract_y
_atom_site_fract_z
Zn1 Zn 0.667 0.333 0.250
Zn2 Zn 0.333 0.667 0.750
In1 In 0.667 0.333 0.750
In2 In 0.333 0.667 0.250
Nd1 Nd 0.000 0.000 0.500
Nd2 Nd 0.000 0.000 0.000
# DOS at the Fermi energy, states/eV/f.u.: 1.9
# Size of the total moment, Bohr magnetons per cell: 0.00
# ΔE_f, eV per atom: -0.450


Record 3
# NdZn3In | the Alexandria database | PBE-GGA | relaxed
data_NdZn3In
_chemical_formula_sum 'Nd2 Zn6 In2'
_space_group_name_H-M_alt 'P 1'
_space_group_IT_number 1
_space_group_name_Hall 'P 1'
_cell_length_a 4.823
_cell_length_b 4.823
_cell_length_c 12.213
_cell_angle_alpha 101.39
_cell_angle_beta 101.39
_cell_angle_gamma 90.00
loop_
_atom_site_label
_atom_site_type_symbol
_atom_site_fract_x
_atom_site_fract_y
_atom_site_fract_z
Zn1 Zn 0.129 0.876 0.257
Zn2 Zn 0.124 0.871 0.743
Zn3 Zn 0.660 0.660 0.321
Zn4 Zn 0.619 0.871 0.743
Zn5 Zn 0.340 0.340 0.679
Zn6 Zn 0.129 0.381 0.257
Nd1 Nd 0.250 0.750 0.500
Nd2 Nd 0.000 0.000 0.000
In1 In 0.908 0.408 0.817
In2 In 0.592 0.092 0.183
# DOS at the Fermi energy, states/eV/f.u.: 2.7
# Size of the total moment, Bohr magnetons per cell: 0.00
# ΔE_f, eV per atom: 0.135


Record 4
# Nd2ZnIn3 | the Alexandria database | PBE-GGA | relaxed
data_Nd2ZnIn3
_chemical_formula_sum 'Nd2 Zn1 In3'
_space_group_name_H-M_alt 'P 1'
_space_group_IT_number 1
_space_group_name_Hall 'P 1'
_cell_length_a 3.795
_cell_length_b 4.844
_cell_length_c 8.451
_cell_angle_alpha 90.00
_cell_angle_beta 90.00
_cell_angle_gamma 90.00
loop_
_atom_site_label
_atom_site_type_symbol
_atom_site_fract_x
_atom_site_fract_y
_atom_site_fract_z
In1 In 0.500 0.000 0.836
In2 In 0.500 0.000 0.179
In3 In 0.500 0.500 0.652
Nd1 Nd 0.000 0.000 0.496
Nd2 Nd 0.000 0.500 0.006
Zn1 Zn 0.500 0.500 0.330
# DOS at the Fermi energy, states/eV/f.u.: 3.9
# Size of the total moment, Bohr magnetons per cell: 0.00
# ΔE_f, eV per atom: -0.456


Record 5
# Nd6ZnIn3 | the Alexandria database | PBE-GGA | relaxed
data_Nd6ZnIn3
_chemical_formula_sum 'Nd12 Zn2 In6'
_space_group_name_H-M_alt 'P 1'
_space_group_IT_number 1
_space_group_name_Hall 'P 1'
_cell_length_a 5.408
_cell_length_b 9.514
_cell_length_c 11.987
_cell_angle_alpha 107.87
_cell_angle_beta 90.00
_cell_angle_gamma 90.00
loop_
_atom_site_label
_atom_site_type_symbol
_atom_site_fract_x
_atom_site_fract_y
_atom_site_fract_z
Nd1 Nd 0.750 0.145 0.681
Nd2 Nd 0.750 0.906 0.127
Nd3 Nd 0.250 0.467 0.089
Nd4 Nd 0.750 0.868 0.847
Nd5 Nd 0.250 0.132 0.153
Nd6 Nd 0.250 0.668 0.671
Nd7 Nd 0.250 0.094 0.873
Nd8 Nd 0.750 0.761 0.503
Nd9 Nd 0.250 0.239 0.497
Nd10 Nd 0.750 0.533 0.911
Nd11 Nd 0.750 0.332 0.329
Nd12 Nd 0.250 0.855 0.319
Zn1 Zn 0.250 0.961 0.598
Zn2 Zn 0.750 0.039 0.402
In1 In 0.750 0.467 0.621
In2 In 0.750 0.230 0.028
In3 In 0.250 0.770 0.972
In4 In 0.250 0.533 0.379
In5 In 0.750 0.623 0.222
In6 In 0.250 0.377 0.778
# DOS at the Fermi energy, states/eV/f.u.: 10.1
# Size of the total moment, Bohr magnetons per cell: 0.00
# ΔE_f, eV per atom: -0.341


Record 6
# Nd3Zn2In4 | the Alexandria database | PBE-GGA | relaxed
data_Nd3Zn2In4
_chemical_formula_sum 'Nd3 Zn2 In4'
_space_group_name_H-M_alt 'P 1'
_space_group_IT_number 1
_space_group_name_Hall 'P 1'
_cell_length_a 4.816
_cell_length_b 6.141
_cell_length_c 8.986
_cell_angle_alpha 72.19
_cell_angle_beta 74.46
_cell_angle_gamma 66.91
loop_
_atom_site_label
_atom_site_type_symbol
_atom_site_fract_x
_atom_site_fract_y
_atom_site_fract_z
In1 In 0.944 0.731 0.381
In2 In 0.277 0.378 0.069
In3 In 0.723 0.622 0.931
In4 In 0.056 0.269 0.619
Zn1 Zn 0.384 0.945 0.286
Zn2 Zn 0.616 0.055 0.714
Nd1 Nd 0.334 0.669 0.662
Nd2 Nd 0.666 0.331 0.338
Nd3 Nd 0.000 0.000 0.000
# DOS at the Fermi energy, states/eV/f.u.: 6.1
# Size of the total moment, Bohr magnetons per cell: 0.00
# ΔE_f, eV per atom: -0.455


Record 7
# Nd2Zn6In3 | the Alexandria database | PBE-GGA | relaxed
data_Nd2Zn6In3
_chemical_formula_sum 'Nd2 Zn6 In3'
_space_group_name_H-M_alt 'P 1'
_space_group_IT_number 1
_space_group_name_Hall 'P 1'
_cell_length_a 4.368
_cell_length_b 7.500
_cell_length_c 7.500
_cell_angle_alpha 90.88
_cell_angle_beta 90.00
_cell_angle_gamma 90.00
loop_
_atom_site_label
_atom_site_type_symbol
_atom_site_fract_x
_atom_site_fract_y
_atom_site_fract_z
Zn1 Zn 0.500 0.648 0.959
Zn2 Zn 0.500 0.041 0.352
Zn3 Zn 0.500 0.611 0.611
Zn4 Zn 0.500 0.352 0.041
Zn5 Zn 0.500 0.959 0.648
Zn6 Zn 0.500 0.389 0.389
In1 In 0.500 0.000 0.000
In2 In 0.000 0.227 0.227
In3 In 0.000 0.773 0.773
Nd1 Nd 0.000 0.716 0.284
Nd2 Nd 0.000 0.284 0.716
# DOS at the Fermi energy, states/eV/f.u.: 4.4
# Size of the total moment, Bohr magnetons per cell: 0.00
# ΔE_f, eV per atom: -0.147


Record 8
# Nd12ZnIn3 | the Alexandria database | PBE-GGA | relaxed
data_Nd12ZnIn3
_chemical_formula_sum 'Nd12 Zn1 In3'
_space_group_name_H-M_alt 'P 1'
_space_group_IT_number 1
_space_group_name_Hall 'P 1'
_cell_length_a 4.975
_cell_length_b 4.975
_cell_length_c 19.792
_cell_angle_alpha 90.00
_cell_angle_beta 90.00
_cell_angle_gamma 90.00
loop_
_atom_site_label
_atom_site_type_symbol
_atom_site_fract_x
_atom_site_fract_y
_atom_site_fract_z
Nd1 Nd 0.500 0.500 0.755
Nd2 Nd 0.500 0.000 0.879
Nd3 Nd 0.500 0.500 0.000
Nd4 Nd 0.000 0.500 0.121
Nd5 Nd 0.500 0.000 0.121
Nd6 Nd 0.500 0.000 0.627
Nd7 Nd 0.000 0.500 0.627
Nd8 Nd 0.500 0.000 0.373
Nd9 Nd 0.500 0.500 0.500
Nd10 Nd 0.500 0.500 0.245
Nd11 Nd 0.000 0.500 0.879
Nd12 Nd 0.000 0.500 0.373
Zn1 Zn 0.000 0.000 0.000
In1 In 0.000 0.000 0.500
In2 In 0.000 0.000 0.753
In3 In 0.000 0.000 0.247
# DOS at the Fermi energy, states/eV/f.u.: 22.5
# Size of the total moment, Bohr magnetons per cell: 0.00
# ΔE_f, eV per atom: -0.219


Record 9
# NdZnIn | the Alexandria database | PBE-GGA | relaxed
data_NdZnIn
_chemical_formula_sum 'Nd4 Zn4 In4'
_space_group_name_H-M_alt 'P 1'
_space_group_IT_number 1
_space_group_name_Hall 'P 1'
_cell_length_a 4.755
_cell_length_b 4.755
_cell_length_c 15.131
_cell_angle_alpha 90.00
_cell_angle_beta 90.00
_cell_angle_gamma 120.00
loop_
_atom_site_label
_atom_site_type_symbol
_atom_site_fract_x
_atom_site_fract_y
_atom_site_fract_z
Zn1 Zn 0.333 0.667 0.111
Zn2 Zn 0.333 0.667 0.389
Zn3 Zn 0.667 0.333 0.611
Zn4 Zn 0.667 0.333 0.889
In1 In 0.667 0.333 0.376
In2 In 0.333 0.667 0.876
In3 In 0.667 0.333 0.124
In4 In 0.333 0.667 0.624
Nd1 Nd 0.000 0.000 0.500
Nd2 Nd 0.000 0.000 0.250
Nd3 Nd 0.000 0.000 0.000
Nd4 Nd 0.000 0.000 0.750
# DOS at the Fermi energy, states/eV/f.u.: 1.4
# Size of the total moment, Bohr magnetons per cell: 0.00
# ΔE_f, eV per atom: -0.446


Record 10
# Nd4ZnIn2 | the Alexandria database | PBE-GGA | relaxed
data_Nd4ZnIn2
_chemical_formula_sum 'Nd4 Zn1 In2'
_space_group_name_H-M_alt 'P 1'
_space_group_IT_number 1
_space_group_name_Hall 'P 1'
_cell_length_a 5.371
_cell_length_b 5.371
_cell_length_c 9.216
_cell_angle_alpha 73.06
_cell_angle_beta 73.06
_cell_angle_gamma 60.00
loop_
_atom_site_label
_atom_site_type_symbol
_atom_site_fract_x
_atom_site_fract_y
_atom_site_fract_z
Zn1 Zn 0.000 0.000 0.000
Nd1 Nd 0.377 0.377 0.870
Nd2 Nd 0.623 0.623 0.130
Nd3 Nd 0.126 0.126 0.623
Nd4 Nd 0.874 0.874 0.377
In1 In 0.251 0.251 0.247
In2 In 0.749 0.749 0.753
# DOS at the Fermi energy, states/eV/f.u.: 8.8
# Size of the total moment, Bohr magnetons per cell: 0.00
# ΔE_f, eV per atom: -0.282